Record 1
SrPmSi2 | GGA-PBE | relaxed

For the raw total energy, the calculation gives -18.89 eV per cell. The energy above the most stable polymorph in this dataset is 15.94 kJ/mol of atoms. Its energy relative to the elements, uncorrected is -1.61 eV per formula unit.

The structure belongs to space group P4/mmm (No. 123); the cell edges are 3.958, 3.958 and 6.714 Å and the angles 90.00°, 90.00° and 90.00°. The inequivalent atoms are Sr at (0.000, 0.000, 0.000), Pm at (0.000, 0.000, 0.500) and Si at (0.500, 0.500, 0.320).

---

Record 2
SrTcAs2 | GGA-PBE | relaxed

For the raw total energy, the calculation gives -21.63 eV per cell. The energy above the most stable polymorph in this dataset is 36.03 kJ/mol of atoms. The value obtained for the formation energy is -0.070 eV per atom.

The structure belongs to space group P4mm (No. 99); the cell edges are 3.411, 3.411 and 7.220 Å and the angles 90.00°, 90.00° and 90.00°. The inequivalent atoms are Sr at (0.000, 0.000, 0.000), Tc at (0.500, 0.500, 0.347), As at (0.000, 0.000, 0.463) and As at (0.500, 0.500, 0.704).

---

Record 3
Cd7In2Hg3 | GGA-PBE | relaxed

For the raw total energy, the calculation gives -12.14 eV per cell. The energy above the most stable polymorph in this dataset is 2.01 kJ/mol of atoms. The value obtained for the formation energy is 0.054 eV per atom.

The structure belongs to space group P2/m (No. 10); the cell edges are 4.537, 4.367 and 15.690 Å and the angles 90.00°, 96.16° and 90.00°. The inequivalent atoms are Cd at (0.000, 0.000, 0.000), Cd at (0.082, 0.500, 0.153), Cd at (0.207, 0.500, 0.422), Cd at (0.422, 0.000, 0.852), In at (0.359, 0.500, 0.714), Hg at (0.287, 0.000, 0.577) and Hg at (0.500, 0.500, 0.000).

---

Record 4
Ac3ThSb4 | GGA-PBE | relaxed

For the raw total energy, the calculation gives -90.74 eV per cell. Its energy relative to the elements, uncorrected is -9.14 eV per formula unit.

The structure belongs to space group Cmmm (No. 65); the cell edges are 9.449, 13.335 and 4.711 Å and the angles 90.00°, 90.00° and 90.00°. The inequivalent atoms are Ac at (0.000, 0.000, 0.000), Ac at (0.250, 0.250, 0.500), Th at (0.000, 0.500, 0.000), Sb at (0.000, 0.257, 0.000) and Sb at (0.237, 0.500, 0.500).

---

Q: The lowest raw total energy belongs to which entry?
A: Ac3ThSb4

---

Q: Among the records above, which one has the highest raw total energy?
A: Cd7In2Hg3

---

Q: The highest raw total energy belongs to which entry?
A: Cd7In2Hg3

---

Copy entry 1 word for word.
SrPmSi2 | GGA-PBE | relaxed

For the raw total energy, the calculation gives -18.89 eV per cell. The energy above the most stable polymorph in this dataset is 15.94 kJ/mol of atoms. Its energy relative to the elements, uncorrected is -1.61 eV per formula unit.

The structure belongs to space group P4/mmm (No. 123); the cell edges are 3.958, 3.958 and 6.714 Å and the angles 90.00°, 90.00° and 90.00°. The inequivalent atoms are Sr at (0.000, 0.000, 0.000), Pm at (0.000, 0.000, 0.500) and Si at (0.500, 0.500, 0.320).